Record 1
{
  "formula": "Zn3HgPd6",
  "functional": "PBE",
  "state": "relaxed",
  "sg": "P2_1/m",
  "dos_ef_per_ev_atom": 0.28,
  "e_form_kcal_per_mol_atoms": -9.6,
  "e_tot_ev_per_cell": -78.921,
  "total_magnetization_mub_per_cell": 0.0,
  "lattice": [[4.1603, 0.0000, 0.0000], [0.0000, 8.0526, -1.7170], [0.0000, 0.7535, 9.0089]],
  "species": ["Zn", "Zn", "Zn", "Zn", "Zn", "Zn", "Hg", "Hg", "Pd", "Pd", "Pd", "Pd", "Pd", "Pd", "Pd", "Pd", "Pd", "Pd", "Pd", "Pd"],
  "frac_coords": [[0.2500, 0.5484, 0.3953], [0.7500, 0.4516, 0.6047], [0.2500, 0.3510, 0.8136], [0.7500, 0.6490, 0.1864], [0.2500, 0.7544, 0.9760], [0.7500, 0.2456, 0.0240], [0.2500, 0.9444, 0.6056], [0.7500, 0.0556, 0.3944], [0.2500, 0.4647, 0.1012], [0.7500, 0.5353, 0.8988], [0.2500, 0.1573, 0.2057], [0.7500, 0.8427, 0.7943], [0.2500, 0.6236, 0.6917], [0.7500, 0.3764, 0.3083], [0.2500, 0.2743, 0.5168], [0.7500, 0.7257, 0.4832], [0.2500, 0.8250, 0.2772], [0.7500, 0.1750, 0.7228], [0.2500, 0.0631, 0.9091], [0.7500, 0.9369, 0.0909]]
}

Record 2
{
  "formula": "ZnHgPd3",
  "functional": "PBE",
  "state": "relaxed",
  "sg": "P1",
  "relative_energy_mev_per_atom": 0,
  "dos_ef_per_ev_atom": 0.40,
  "e_form_kcal_per_mol_atoms": -5.6,
  "e_tot_ev_per_cell": -36.753,
  "total_magnetization_mub_per_cell": 0.0,
  "lattice": [[5.4942, 0.3042, 0.0471], [2.9848, 4.4692, -0.9525], [2.8705, 0.3724, 6.8443]],
  "species": ["Zn", "Zn", "Hg", "Hg", "Pd", "Pd", "Pd", "Pd", "Pd", "Pd"],
  "frac_coords": [[0.2192, 0.2048, 0.6228], [0.0316, 0.8915, 0.1228], [0.4475, 0.5160, 0.3286], [0.6401, 0.8258, 0.8267], [0.8444, 0.1120, 0.5196], [0.6540, 0.3073, 0.9282], [0.2555, 0.7067, 0.7333], [0.0409, 0.4114, 0.0196], [0.8271, 0.6356, 0.4269], [0.4227, 0.0386, 0.2323]]
}

Record 3
{
  "formula": "Zn2HgPd",
  "functional": "PBE",
  "state": "relaxed",
  "sg": "I-42d",
  "dos_ef_per_ev_atom": 0.36,
  "e_form_kcal_per_mol_atoms": -0.2,
  "e_tot_ev_per_cell": -16.153,
  "total_magnetization_mub_per_cell": 0.0,
  "lattice": [[7.2840, 0.0000, 0.0000], [0.0000, 7.2840, 0.0000], [3.6420, 3.6420, 2.7494]],
  "species": ["Zn", "Zn", "Zn", "Zn", "Hg", "Hg", "Pd", "Pd"],
  "frac_coords": [[0.6035, 0.1250, 0.2500], [0.1465, 0.6250, 0.2500], [0.3750, 0.3965, 0.7500], [0.8750, 0.8535, 0.7500], [0.0000, 0.0000, 0.0000], [0.7500, 0.2500, 0.5000], [0.5000, 0.5000, 0.0000], [0.2500, 0.7500, 0.5000]]
}

Record 4
{
  "formula": "Zn2Hg2Pd",
  "functional": "PBE",
  "state": "relaxed",
  "sg": "P4/mbm",
  "relative_energy_mev_per_atom": 46,
  "dos_ef_per_ev_atom": 0.26,
  "e_form_kcal_per_mol_atoms": 3.0,
  "e_tot_ev_per_cell": -15.389,
  "total_magnetization_mub_per_cell": 0.0,
  "lattice": [[-3.3102, -3.8492, -5.6132], [2.8524, -6.4519, 2.7422], [-2.6556, -0.3937, 1.8360]],
  "species": ["Zn", "Zn", "Zn", "Zn", "Hg", "Hg", "Hg", "Hg", "Pd", "Pd"],
  "frac_coords": [[0.1593, 0.6593, 0.5000], [0.6593, 0.8407, 0.5000], [0.8407, 0.3407, 0.5000], [0.3407, 0.1593, 0.5000], [0.3554, 0.8554, 0.0000], [0.8554, 0.6446, 0.0000], [0.6446, 0.1446, 0.0000], [0.1446, 0.3554, 0.0000], [0.0000, 0.0000, 0.0000], [0.5000, 0.5000, 0.0000]]
}

Record 5
{
  "formula": "Zn2HgPd",
  "functional": "PBE",
  "state": "relaxed",
  "sg": "P4/mmm",
  "dos_ef_per_ev_atom": 0.20,
  "e_form_kcal_per_mol_atoms": -3.8,
  "e_tot_ev_per_cell": -8.702,
  "total_magnetization_mub_per_cell": 0.0,
  "lattice": [[-1.6432, -2.8107, -1.6303], [2.9140, 0.0790, -3.0732], [2.4077, -2.6916, 2.2138]],
  "species": ["Zn", "Zn", "Hg", "Pd"],
  "frac_coords": [[0.0000, 0.0000, 0.5000], [0.0000, 0.5000, 0.0000], [0.5000, 0.5000, 0.5000], [0.5000, 0.0000, 0.0000]]
}

Record 6
{
  "formula": "Zn2Hg2Pd",
  "functional": "PBE",
  "state": "relaxed",
  "sg": "I4/mmm",
  "relative_energy_mev_per_atom": 0,
  "dos_ef_per_ev_atom": 0.32,
  "e_form_kcal_per_mol_atoms": 1.9,
  "e_tot_ev_per_cell": -7.923,
  "total_magnetization_mub_per_cell": 0.0,
  "lattice": [[3.5783, 0.0000, 0.0000], [0.0000, 3.5783, 0.0000], [1.7891, 1.7891, 7.4104]],
  "species": ["Zn", "Zn", "Hg", "Hg", "Pd"],
  "frac_coords": [[0.7500, 0.2500, 0.5000], [0.2500, 0.7500, 0.5000], [0.4013, 0.4013, 0.1974], [0.5987, 0.5987, 0.8026], [0.0000, 0.0000, 0.0000]]
}

Record 7
{
  "formula": "Zn4HgPd",
  "functional": "PBE",
  "state": "relaxed",
  "sg": "F-43m",
  "dos_ef_per_ev_atom": 0.40,
  "e_form_kcal_per_mol_atoms": -1.6,
  "e_tot_ev_per_cell": -10.999,
  "total_magnetization_mub_per_cell": 0.0,
  "lattice": [[5.0983, 0.0000, 0.0000], [2.5491, 4.4152, 0.0000], [2.5491, 1.4717, 4.1627]],
  "species": ["Zn", "Zn", "Zn", "Zn", "Hg", "Pd"],
  "frac_coords": [[0.6243, 0.6243, 0.1270], [0.6243, 0.1270, 0.6243], [0.6243, 0.6243, 0.6243], [0.1270, 0.6243, 0.6243], [0.0000, 0.0000, 0.0000], [0.2500, 0.2500, 0.2500]]
}

Record 8
{
  "formula": "ZnHgPd14",
  "functional": "PBE",
  "state": "relaxed",
  "sg": "Amm2",
  "dos_ef_per_ev_atom": 1.88,
  "e_form_kcal_per_mol_atoms": -1.8,
  "e_tot_ev_per_cell": -75.536,
  "total_magnetization_mub_per_cell": 0.0,
  "lattice": [[5.5745, -0.3095, 0.0000], [-2.4695, 5.0073, 0.0000], [0.0000, 0.0000, 9.1937]],
  "species": ["Zn", "Hg", "Pd", "Pd", "Pd", "Pd", "Pd", "Pd", "Pd", "Pd", "Pd", "Pd", "Pd", "Pd", "Pd", "Pd"],
  "frac_coords": [[0.5439, 0.4561, 0.5000], [0.0427, 0.9573, 0.5000], [0.2071, 0.7929, 0.0000], [0.7069, 0.2931, 0.0000], [0.0421, 0.4559, 0.5000], [0.2081, 0.2941, 0.0000], [0.5441, 0.9579, 0.5000], [0.7059, 0.7919, 0.0000], [0.3782, 0.1286, 0.7496], [0.3782, 0.1286, 0.2504], [0.8714, 0.6218, 0.7496], [0.8714, 0.6218, 0.2504], [0.3759, 0.6241, 0.7472], [0.3759, 0.6241, 0.2528], [0.8740, 0.1260, 0.7534], [0.8740, 0.1260, 0.2466]]
}